Entry A
First-principles (GGA-PBE) data for a relaxed Ba4ZnGa crystal, as listed in Alexandria.

The structure in extended XYZ format:
```
6
Lattice="5.782 0.000 0.000 0.000 5.782 0.000 0.000 0.000 8.306" Properties=species:S:1:pos:R:3 pbc="T T T"
Ba 0.000 2.891 2.008
Ba 0.000 2.891 6.298
Ba 2.891 0.000 2.008
Ba 2.891 0.000 6.298
Zn 0.000 0.000 4.153
Ga 2.891 2.891 0.000
```

Output
total magnetic moment: 0.009 μB per atom
DOS(E_F): 9.08 states/eV/cell



Entry B
First-principles (GGA-PBE) data for a relaxed Ba4ZnGa crystal, as listed in Alexandria.

The structure in extended XYZ format:
```
6
Lattice="4.164 0.000 0.000 0.000 4.164 0.000 0.000 0.000 15.224" Properties=species:S:1:pos:R:3 pbc="T T T"
Ba 0.000 0.000 1.923
Ba 0.000 0.000 13.301
Ba 2.082 2.082 5.670
Ba 2.082 2.082 9.554
Zn 0.000 0.000 7.612
Ga 2.082 2.082 0.000
```

Output
total magnetic moment: 0.000 μB per atom
DOS(E_F): 5.41 states/eV/cell



Calculated relative energies: entry A 109; entry B 0, given in meV/atom



Entry A
First-principles (GGA-PBE) data for a relaxed Ba6Zn2Ga crystal, as listed in Alexandria.

The structure in extended XYZ format:
```
18
Lattice="-5.612 5.833 5.933 5.612 -5.833 5.933 5.612 5.833 -5.933" Properties=species:S:1:pos:R:3 pbc="T T T"
Ba 5.612 -2.969 3.779
Ba 3.377 1.936 0.000
Ba 7.846 1.936 0.000
Ba 2.915 5.833 -2.016
Ba 2.697 0.000 3.917
Ba 0.000 2.865 2.154
Ba 5.612 2.969 3.779
Ba 2.915 5.833 2.016
Ba 2.697 0.000 7.948
Ba -2.235 3.897 5.933
Ba 2.235 3.897 5.933
Ba 0.000 8.802 2.154
Zn 5.612 0.000 1.891
Zn 5.612 4.558 0.000
Zn 0.000 1.275 5.933
Zn 0.000 5.833 4.042
Ga 0.000 0.000 0.000
Ga 0.000 5.833 0.000
```

Output
total magnetic moment: 0.000 μB per atom
DOS(E_F): 21.62 states/eV/cell



Entry B
First-principles (GGA-PBE) data for a relaxed Ba6Zn2Ga crystal, as listed in Alexandria.

The structure in extended XYZ format:
```
9
Lattice="0.000 7.544 8.854 2.955 0.000 8.854 2.955 7.544 0.000" Properties=species:S:1:pos:R:3 pbc="T T T"
Ba 2.955 1.922 8.854
Ba 2.955 5.625 5.921
Ba 2.955 9.463 5.921
Ba 2.955 5.625 11.788
Ba 2.955 9.463 11.788
Ba 2.955 13.166 8.854
Zn 2.955 7.544 2.966
Zn 2.955 7.544 14.743
Ga 2.955 7.544 8.854
```

Output
total magnetic moment: 0.000 μB per atom
DOS(E_F): 8.77 states/eV/cell



Calculated relative energies: entry A 55; entry B 0, given in meV/atom



Entry A
First-principles (GGA-PBE) data for a relaxed Ba3Zn2Ga4 crystal, as listed in Alexandria.

The structure in extended XYZ format:
```
18
Lattice="4.449 0.000 0.000 -2.225 3.853 0.000 0.000 0.000 30.893" Properties=species:S:1:pos:R:3 pbc="T T T"
Ba 0.000 0.000 2.567
Ba 0.000 0.000 7.761
Ba 0.000 0.000 12.837
Ba 0.000 0.000 18.056
Ba 0.000 0.000 23.132
Ba 0.000 0.000 28.326
Zn 0.000 2.569 0.000
Zn 2.225 1.284 0.000
Zn 2.225 1.284 10.303
Zn 2.225 1.284 20.590
Ga 0.000 2.569 5.174
Ga 0.000 2.569 10.305
Ga 0.000 2.569 15.446
Ga 0.000 2.569 20.588
Ga 0.000 2.569 25.719
Ga 2.225 1.284 5.139
Ga 2.225 1.284 15.446
Ga 2.225 1.284 25.754
```

Output
total magnetic moment: 0.000 μB per atom
DOS(E_F): 9.21 states/eV/cell



Entry B
First-principles (GGA-PBE) data for a relaxed Ba3Zn2Ga4 crystal, as listed in Alexandria.

The structure in extended XYZ format:
```
9
Lattice="6.263 -2.203 0.000 6.263 2.203 0.000 -3.633 0.000 9.237" Properties=species:S:1:pos:R:3 pbc="T T T"
Ba 0.000 0.000 0.000
Ba 3.954 0.000 2.911
Ba 4.939 0.000 6.326
Zn 1.349 0.000 6.489
Zn 7.544 0.000 2.748
Ga 0.435 0.000 4.031
Ga -0.086 0.000 8.722
Ga 8.979 0.000 0.515
Ga 8.458 0.000 5.206
```

Output
total magnetic moment: 0.000 μB per atom
DOS(E_F): 4.92 states/eV/cell



Calculated relative energies: entry A 0; entry B 15, given in meV/atom